Entry 1:
This record from the Alexandria database describes a relaxed Na8Cd6Sn crystal. The functional is PBE.

Output
calculated formation energy	-25.2	meV/atom
energy above the most stable polymorph in this dataset	44	meV/atom

Unit cell a=8.8886 b=8.8886 c=8.3938 alpha=58.03 beta=58.03 gamma=60.00
Fractional positions:
Na 0.5423 0.2201 0.3554
Na 0.7799 0.1179 0.6446
Na 0.1179 0.4577 0.6446
Na 0.6659 0.6659 0.0023
Na 0.3341 0.3341 0.9977
Na 0.8821 0.5423 0.3554
Na 0.2201 0.8821 0.3554
Na 0.4577 0.7799 0.6446
Cd 0.3754 0.0478 0.8534
Cd 0.9522 0.2767 0.1466
Cd 0.2767 0.6246 0.1466
Cd 0.7233 0.3754 0.8534
Cd 0.0478 0.7233 0.8534
Cd 0.6246 0.9522 0.1466
Sn 0.0000 0.0000 0.0000

=====

Entry 2:
This record from the Alexandria database describes a relaxed Na5Cd4Sn2 crystal. The functional is PBE.

Output
calculated formation energy	-40.4	meV/atom

Unit cell a=6.2752 b=6.7305 c=8.7800 alpha=72.52 beta=69.06 gamma=62.21
Fractional positions:
Na 0.2436 0.1814 0.8270
Na 0.7564 0.8186 0.1730
Na 0.0000 0.5000 0.5000
Na 0.7479 0.1814 0.8270
Na 0.2521 0.8186 0.1730
Cd 0.2741 0.9545 0.4972
Cd 0.7259 0.0455 0.5028
Cd 0.7347 0.6898 0.8407
Cd 0.2653 0.3102 0.1593
Sn 0.2533 0.6637 0.8296
Sn 0.7467 0.3363 0.1704

=====

Entry 3:
This record from the Alexandria database describes a relaxed Na2CdSn4 crystal. The functional is PBE.

Output
calculated formation energy	28.9	meV/atom
energy above the most stable polymorph in this dataset	125	meV/atom

Unit cell a=5.7303 b=6.0580 c=7.4627 alpha=113.95 beta=90.00 gamma=90.00
Fractional positions:
Na 0.5000 0.1517 0.3034
Na 0.5000 0.8483 0.6966
Cd 0.0000 0.5000 0.0000
Sn 0.5000 0.6066 0.2132
Sn 0.0000 0.7120 0.4239
Sn 0.5000 0.3934 0.7868
Sn 0.0000 0.2880 0.5761

=====

In order of appearance, DOS at the Fermi energy = 0.4269 0.4529 0.4435 states/eV per atom.
In order of appearance, electronic total energy = -1.36 -1.70 -2.77 eV/atom.